Record 1
The following is a DFT calculation (PBE-GGA) of a geometry-optimized HgH structure.

Cell: 9.576 9.576 3.146 Å, 90.00 90.00 90.00°
Space group P4/m (No. 83)
Asymmetric unit:
Hg 0.004 0.260 0.000 x4
Hg 0.274 0.465 0.500 x4
H 0.086 0.178 0.500 x4
H 0.120 0.608 0.000 x4

Results
Final energy (eV/cell): -23.03
E above lowest polymorph (meV/atom): 366

***

Record 2
The following is a DFT calculation (PBE-GGA) of a geometry-optimized CdHg2Se structure.

Cell: 12.942 4.120 4.117 Å, 90.00 108.42 90.00°
Space group C2/m (No. 12)
Asymmetric unit:
Cd 0.000 0.000 0.000 x2
Hg 0.243 0.500 0.743 x4
Se 0.000 0.500 0.500 x2

Results
Uncorrected formation energy (eV per atom): -0.133
Final energy (eV/cell): -11.07